! HgAsCl2, optimized geometry, DFT PBE; values from VASP
&SYSTEM
  ibrav = 0, nat = 4, ntyp = 3
/
ATOMIC_SPECIES
Hg 200.59 Hg.upf
As 74.92 As.upf
Cl 35.45 Cl.upf
ATOMIC_POSITIONS crystal
Hg 0.0000 0.0000 0.0000
As 0.3000 0.3000 0.8791
Cl 0.3049 0.3049 0.6035
Cl 0.5965 0.5965 0.2199
CELL_PARAMETERS angstrom
4.3678 -1.9023 0.0000
4.3678 1.9023 0.0000
-0.2658 0.0000 7.8615
! * total magnetic moment: 0.0 μB/f.u.
! * uncorrected formation energy: -0.255 eV/atom
! * energy above the lowest structure with this stoichiometry: 43 meV/atom
! * calculated density: 4.403 g/cm3